## Ba5PuBi4 (PBE)

Data for an optimized crystal structure of Ba5PuBi4.

Structure (POSCAR):
```
Ba5PuBi4
1.0
-2.137 4.138 2.032
-6.620 -0.128 -6.701
-1.691 -8.132 8.426
Ba Bi Pu
5 4 1
Direct
0.835 0.071 0.671
0.165 0.929 0.329
0.164 0.401 0.329
0.836 0.599 0.671
0.500 0.500 0.000
0.000 0.231 0.000
0.000 0.769 0.000
0.707 0.207 0.414
0.293 0.793 0.586
0.500 0.000 0.000
```

- Energy of formation from the pure elements: -0.651 eV per atom
- Electronic total energy: -4.598 eV/atom
- Crystal system: monoclinic

---

## Tm11Hg4Pb9 (PBE)

Data for an optimized crystal structure of Tm11Hg4Pb9.

Structure (POSCAR):
```
Tm11Hg4Pb9
1.0
3.524 0.000 0.000
0.000 13.061 -7.021
0.000 -1.323 14.769
Tm Pb Hg
11 9 4
Direct
0.000 0.293 0.293
0.000 0.921 0.583
0.000 0.079 0.417
0.000 0.159 0.841
0.000 0.841 0.159
0.000 0.000 0.000
0.000 0.583 0.921
0.000 0.707 0.707
0.000 0.417 0.079
0.000 0.339 0.661
0.000 0.661 0.339
0.500 0.632 0.129
0.500 0.871 0.368
0.500 0.129 0.632
0.500 0.941 0.786
0.500 0.214 0.059
0.500 0.059 0.214
0.500 0.500 0.500
0.500 0.786 0.941
0.500 0.368 0.871
0.500 0.731 0.540
0.500 0.460 0.269
0.500 0.540 0.731
0.500 0.269 0.460
```

- Energy of formation from the pure elements: -0.360 eV per atom
- Electronic total energy: -3.850 eV/atom
- Crystal system: orthorhombic

---

## CdCuPt2 (PBE)

Data for an optimized crystal structure of CdCuPt2.

Structure (POSCAR):
```
CdCuPt2
1.0
-2.823 0.044 0.463
0.170 -2.555 1.277
1.169 3.472 6.793
Cd Pt Cu
1 2 1
Direct
0.000 0.000 0.509
0.500 0.500 0.243
0.000 0.000 0.984
0.500 0.500 0.764
```

- Energy of formation from the pure elements: -0.109 eV per atom
- Electronic total energy: -4.382 eV/atom
- Crystal system: tetragonal

---

## PmErMgAu (PBE)

Data for an optimized crystal structure of PmErMgAu.

Structure (POSCAR):
```
PmErMgAu
1.0
-0.842 -3.069 -1.931
3.475 -0.117 -1.329
2.050 -4.165 5.726
Er Au Mg Pm
1 1 1 1
Direct
0.000 0.000 0.338
0.500 0.500 0.130
0.500 0.500 0.593
0.000 0.000 0.868
```

- Energy of formation from the pure elements: -0.458 eV per atom
- Electronic total energy: -4.005 eV/atom
- Crystal system: tetragonal

---

## NdYTm2 (PBE)

Data for an optimized crystal structure of NdYTm2.

Structure (POSCAR):
```
NdYTm2
1.0
7.262 0.000 0.000
0.000 6.122 -1.390
0.000 -3.622 12.431
Tm Nd Y
8 4 4
Direct
0.247 0.959 0.127
0.001 0.461 0.125
0.753 0.459 0.627
0.001 0.039 0.375
0.247 0.541 0.373
0.999 0.961 0.625
0.753 0.041 0.873
0.999 0.539 0.875
0.247 0.044 0.878
0.247 0.456 0.622
0.753 0.956 0.122
0.753 0.544 0.378
0.500 0.543 0.875
0.500 0.957 0.625
0.500 0.043 0.375
0.500 0.457 0.125
```

- Energy of formation from the pure elements: 0.008 eV per atom
- Electronic total energy: -5.035 eV/atom
- Crystal system: monoclinic

---

## Pr5NpRu4 (PBE)

Data for an optimized crystal structure of Pr5NpRu4.

Structure (POSCAR):
```
Pr5NpRu4
1.0
4.155 0.000 -1.142
-0.617 7.048 -2.243
0.319 -0.778 9.286
Pr Np Ru
5 1 4
Direct
0.500 0.500 0.000
0.838 0.962 0.676
0.162 0.038 0.324
0.824 0.441 0.649
0.176 0.559 0.351
0.500 0.000 0.000
0.985 0.791 0.969
0.015 0.209 0.031
0.363 0.724 0.726
0.637 0.276 0.274
```

- Energy of formation from the pure elements: -0.149 eV per atom
- Electronic total energy: -7.544 eV/atom
- Crystal system: monoclinic

---

## Er2SbH (PBE)

Data for an optimized crystal structure of Er2SbH.

Structure (POSCAR):
```
Er2SbH
1.0
7.109 0.000 0.426
0.000 7.226 0.000
0.642 0.000 7.228
Er H Sb
8 4 4
Direct
0.993 0.765 0.136
0.507 0.265 0.864
0.493 0.735 0.136
0.313 0.131 0.444
0.813 0.369 0.444
0.007 0.235 0.864
0.687 0.869 0.556
0.187 0.631 0.556
0.417 0.830 0.426
0.083 0.330 0.574
0.917 0.670 0.426
0.583 0.170 0.574
0.793 0.586 0.832
0.707 0.086 0.168
0.207 0.414 0.168
0.293 0.914 0.832
```

- Electronic total energy: -4.848 eV/atom
- Crystal system: monoclinic

---

## Tb2PdPt3 (PBE)

Data for an optimized crystal structure of Tb2PdPt3.

Structure (POSCAR):
```
Tb2PdPt3
1.0
-3.322 1.090 -1.771
0.537 -5.576 -4.439
-8.993 -9.595 10.965
Pt Tb Pd
12 8 4
Direct
0.750 0.243 0.049
0.250 0.631 0.347
0.750 0.743 0.451
0.250 0.753 0.192
0.750 0.369 0.653
0.250 0.253 0.308
0.750 0.247 0.808
0.250 0.757 0.951
0.250 0.131 0.153
0.750 0.747 0.692
0.750 0.869 0.847
0.250 0.257 0.549
0.250 0.062 0.707
0.750 0.438 0.207
0.750 0.349 0.432
0.250 0.651 0.568
0.250 0.562 0.793
0.250 0.151 0.932
0.750 0.849 0.068
0.750 0.938 0.293
0.750 0.499 0.930
0.250 0.501 0.070
0.750 0.999 0.570
0.250 0.001 0.430
```

- Energy of formation from the pure elements: -1.002 eV per atom
- Electronic total energy: -6.431 eV/atom
- Crystal system: orthorhombic

---

## Pm2Pr2Co (PBE)

Data for an optimized crystal structure of Pm2Pr2Co.

Structure (POSCAR):
```
Pm2Pr2Co
1.0
-6.207 3.109 -2.965
-2.858 -2.296 -6.034
-7.729 -2.446 1.652
Pr Co Pm
4 2 4
Direct
0.652 0.000 0.593
0.348 0.000 0.407
0.821 0.000 0.904
0.179 0.000 0.096
0.122 0.757 0.500
0.878 0.243 0.500
0.561 0.458 0.259
0.980 0.458 0.741
0.439 0.542 0.741
0.020 0.542 0.259
```

- Energy of formation from the pure elements: -0.007 eV per atom
- Electronic total energy: -5.240 eV/atom
- Crystal system: monoclinic

---

## Sm4AlTlHg2 (PBE)

Data for an optimized crystal structure of Sm4AlTlHg2.

Structure (POSCAR):
```
Sm4AlTlHg2
1.0
-1.192 -4.521 -2.629
3.898 -2.856 -2.328
1.966 -7.053 5.766
Hg Sm Al Tl
2 4 1 1
Direct
0.249 0.249 0.252
0.751 0.751 0.748
0.622 0.622 0.135
0.378 0.378 0.865
0.872 0.872 0.384
0.128 0.128 0.616
0.500 0.500 0.500
0.000 0.000 0.000
```

- Energy of formation from the pure elements: -0.411 eV per atom
- Electronic total energy: -3.610 eV/atom
- Crystal system: trigonal

---

## BC3 (PBE)

Data for an optimized crystal structure of BC3.

Structure (POSCAR):
```
BC3
1.0
-0.903 2.190 0.975
-4.311 -1.482 -0.666
0.655 -2.319 5.816
B C
3 9
Direct
0.500 0.461 0.277
0.500 0.544 0.004
0.500 0.829 0.304
0.500 0.162 0.672
0.500 0.180 0.923
0.000 0.316 0.593
0.000 0.023 0.994
0.000 0.011 0.234
0.000 0.703 0.907
0.500 0.808 0.577
0.000 0.659 0.665
0.000 0.303 0.352
```

- Energy of formation from the pure elements: 0.305 eV per atom
- Electronic total energy: -8.282 eV/atom
- Crystal system: monoclinic

---

## Pu2Sn3Pb3 (PBE)

Data for an optimized crystal structure of Pu2Sn3Pb3.

Structure (POSCAR):
```
Pu2Sn3Pb3
1.0
5.781 0.000 -0.799
0.000 3.465 0.000
-2.434 0.000 11.450
Pb Pu Sn
3 2 3
Direct
0.000 0.500 0.500
0.500 0.000 0.500
0.000 0.500 0.000
0.010 0.000 0.752
0.990 0.000 0.248
0.506 0.500 0.753
0.500 0.000 0.000
0.494 0.500 0.247
```

- Energy of formation from the pure elements: -0.133 eV per atom
- Electronic total energy: -6.607 eV/atom
- Crystal system: monoclinic

---

## Pm2Al3GaIr4 (PBE)

Data for an optimized crystal structure of Pm2Al3GaIr4.

Structure (POSCAR):
```
Pm2Al3GaIr4
1.0
-0.871 -0.777 -4.126
3.542 -2.399 -0.296
-5.336 -8.208 2.671
Al Ir Pm Ga
3 4 2 1
Direct
0.500 0.000 0.878
0.000 0.500 0.122
0.000 0.000 0.500
0.000 0.000 0.000
0.500 0.500 0.000
0.500 0.000 0.633
0.000 0.500 0.367
0.000 0.500 0.761
0.500 0.000 0.239
0.500 0.500 0.500
```

- Energy of formation from the pure elements: -0.846 eV per atom
- Electronic total energy: -6.766 eV/atom
- Crystal system: tetragonal

---

## ZrCuRh2 (PBE)

Data for an optimized crystal structure of ZrCuRh2.

Structure (POSCAR):
```
ZrCuRh2
1.0
-4.958 0.357 -0.267
2.326 -3.490 -3.100
-0.429 -2.504 1.318
Cu Rh Zr
1 2 1
Direct
0.500 0.500 0.000
0.500 0.000 0.500
0.000 0.000 0.000
0.000 0.500 0.500
```

- Energy of formation from the pure elements: -0.243 eV per atom
- Electronic total energy: -7.080 eV/atom
- Crystal system: monoclinic

---

## LaPmIrPb (PBE)

Data for an optimized crystal structure of LaPmIrPb.

Structure (POSCAR):
```
LaPmIrPb
1.0
5.330 0.000 0.000
2.665 4.616 0.000
2.665 1.539 4.352
Pb Ir La Pm
1 1 1 1
Direct
0.500 0.500 0.500
0.000 0.000 0.000
0.250 0.250 0.250
0.750 0.750 0.750
```

- Energy of formation from the pure elements: -0.398 eV per atom
- Electronic total energy: -5.960 eV/atom
- Crystal system: cubic

---

## Ca2ScSb3Rh4 (PBE)

Data for an optimized crystal structure of Ca2ScSb3Rh4.

Structure (POSCAR):
```
Ca2ScSb3Rh4
1.0
4.305 0.000 0.000
0.000 4.305 0.000
0.000 0.000 11.446
Rh Sb Ca Sc
4 3 2 1
Direct
0.500 0.500 0.000
0.000 0.500 0.359
0.000 0.000 0.000
0.500 0.000 0.641
0.000 0.500 0.133
0.000 0.000 0.500
0.500 0.000 0.867
0.500 0.000 0.242
0.000 0.500 0.758
0.500 0.500 0.500
```

- Electronic total energy: -6.009 eV/atom
- Crystal system: tetragonal

---

## NaDyTeSe (PBE)

Data for an optimized crystal structure of NaDyTeSe.

Structure (POSCAR):
```
NaDyTeSe
1.0
4.243 -0.001 0.000
-2.121 3.675 -0.002
-2.119 -1.227 7.624
Dy Te Na Se
1 1 1 1
Direct
0.293 0.544 0.853
0.123 0.959 0.097
0.972 0.384 0.371
0.490 0.143 0.649
```

- Electronic total energy: -4.597 eV/atom
- Crystal system: trigonal

---

## Mg2AlW (PBE)

Data for an optimized crystal structure of Mg2AlW.

Structure (POSCAR):
```
Mg2AlW
1.0
-1.228 0.024 -2.530
-2.446 -0.730 1.181
-2.077 8.732 1.092
Mg W Al
2 1 1
Direct
0.000 0.000 0.007
0.000 0.000 0.493
0.500 0.500 0.250
0.500 0.500 0.750
```

- Energy of formation from the pure elements: 0.247 eV per atom
- Electronic total energy: -4.724 eV/atom
- Crystal system: tetragonal

---

## LiAcBrN (PBE)

Data for an optimized crystal structure of LiAcBrN.

Structure (POSCAR):
```
LiAcBrN
1.0
4.026 0.001 0.002
2.012 3.487 0.003
2.009 1.159 6.730
Li N Ac Br
1 1 1 1
Direct
0.463 0.725 0.301
0.558 0.821 0.014
0.929 0.192 0.901
0.734 0.997 0.487
```

- Electronic total energy: -5.291 eV/atom
- Crystal system: trigonal

---

## MnBe2Cl (PBE)

Data for an optimized crystal structure of MnBe2Cl.

Structure (POSCAR):
```
MnBe2Cl
1.0
-4.659 1.061 0.681
-2.671 -3.992 -0.471
3.419 2.270 2.540
Mn Be Cl
1 2 1
Direct
0.244 0.744 0.500
0.982 0.982 0.000
0.746 0.246 0.500
0.528 0.528 0.000
```

- Electronic total energy: -4.090 eV/atom
- Crystal system: orthorhombic

---

## LaNi2RhSe (PBE)

Data for an optimized crystal structure of LaNi2RhSe.

Structure (POSCAR):
```
LaNi2RhSe
1.0
-1.494 2.354 3.804
-3.128 -3.644 1.026
3.315 -2.111 2.608
La Se Ni Rh
1 1 2 1
Direct
0.000 0.000 0.000
0.500 0.500 0.500
0.000 0.000 0.500
0.500 0.000 0.000
0.000 0.500 0.000
```

- Electronic total energy: -4.390 eV/atom
- Crystal system: tetragonal

---

## SrLiIn2Hg2 (PBE)

Data for an optimized crystal structure of SrLiIn2Hg2.

Structure (POSCAR):
```
SrLiIn2Hg2
1.0
-4.620 1.449 0.852
1.590 -4.305 1.762
2.259 3.448 6.386
In Li Hg Sr
2 1 2 1
Direct
0.333 0.667 0.315
0.667 0.333 0.685
0.000 0.000 0.500
0.333 0.667 0.729
0.667 0.333 0.271
0.000 0.000 0.000
```

- Energy of formation from the pure elements: -0.349 eV per atom
- Electronic total energy: -1.961 eV/atom
- Crystal system: trigonal

---

## FeRe2Ag (PBE)

Data for an optimized crystal structure of FeRe2Ag.

Structure (POSCAR):
```
FeRe2Ag
1.0
3.928 0.000 0.000
0.000 2.686 0.010
0.000 2.680 5.598
Ag Re Fe
1 2 1
Direct
0.500 0.250 0.250
0.000 0.034 0.968
0.000 0.466 0.532
0.500 0.750 0.750
```

- Energy of formation from the pure elements: 0.489 eV per atom
- Electronic total energy: -8.564 eV/atom
- Crystal system: monoclinic